! Si2PSe GGA-PBE optimized geometry; values from VASP
! Volume: 16.181 Å³/atom
! Space-group type: Fm-3m (225)
! Magnetic moment: 0.00 μB/f.u.
! Distance to the lowest polymorph of the same formula: 598.2 meV/atom
! Formation energy (no corrections): 553 meV per atom
! DOS(E_F): 1.6 states/eV/f.u.
&SYSTEM
  ibrav = 0, nat = 4, ntyp = 3
/
ATOMIC_SPECIES
Se 78.96 Se.upf
Si 28.09 Si.upf
P 30.97 P.upf
ATOMIC_POSITIONS crystal
Se 0.500 0.500 0.500
Si 0.750 0.750 0.750
Si 0.250 0.250 0.250
P 0.000 0.000 0.000
CELL_PARAMETERS angstrom
1.505 2.387 3.514
-0.859 4.417 0.257
-2.903 1.556 3.077

***

! Si2PSe GGA-PBE optimized geometry; values from VASP
! Volume: 20.097 Å³/atom
! Space-group type: R3m (160)
! Magnetic moment: 0.00 μB/f.u.
! Distance to the lowest polymorph of the same formula: 0.0 meV/atom
! Formation energy (no corrections): -45 meV per atom
! DOS(E_F): 1.6 states/eV/f.u.
&SYSTEM
  ibrav = 0, nat = 4, ntyp = 3
/
ATOMIC_SPECIES
Si 28.09 Si.upf
Se 78.96 Se.upf
P 30.97 P.upf
ATOMIC_POSITIONS crystal
Si 0.245 0.245 0.245
Si 0.998 0.998 0.998
Se 0.726 0.726 0.726
P 0.531 0.531 0.531
CELL_PARAMETERS angstrom
-7.100 3.218 0.183
-6.678 2.046 3.466
-5.303 5.133 2.514

***

! Si2PSe GGA-PBE optimized geometry; values from VASP
! Volume: 17.220 Å³/atom
! Space-group type: P2/m (10)
! Magnetic moment: 0.00 μB/f.u.
! Distance to the lowest polymorph of the same formula: 162.1 meV/atom
! Formation energy (no corrections): 117 meV per atom
! DOS(E_F): 0.7 states/eV/f.u.
&SYSTEM
  ibrav = 0, nat = 4, ntyp = 3
/
ATOMIC_SPECIES
Se 78.96 Se.upf
Si 28.09 Si.upf
P 30.97 P.upf
ATOMIC_POSITIONS crystal
Se 0.500 0.750 0.750
Si 0.000 0.479 0.021
Si 0.000 0.021 0.479
P 0.500 0.250 0.250
CELL_PARAMETERS angstrom
3.619 0.000 0.000
0.000 2.609 0.010
0.000 2.600 7.305

***

! Si2PSe GGA-PBE optimized geometry; values from VASP
! Volume: 19.178 Å³/atom
! Space-group type: R-3m (166)
! Magnetic moment: 0.00 μB/f.u.
! Distance to the lowest polymorph of the same formula: 675.2 meV/atom
! Formation energy (no corrections): 630 meV per atom
! DOS(E_F): 1.6 states/eV/f.u.
&SYSTEM
  ibrav = 0, nat = 4, ntyp = 3
/
ATOMIC_SPECIES
P 30.97 P.upf
Si 28.09 Si.upf
Se 78.96 Se.upf
ATOMIC_POSITIONS crystal
P 0.250 0.250 0.250
Si 0.524 0.524 0.524
Si 0.976 0.976 0.976
Se 0.750 0.750 0.750
CELL_PARAMETERS angstrom
-3.699 -4.691 -7.903
-3.947 -6.920 -5.889
-6.116 -4.839 -6.109

***

! Si2PSe GGA-PBE optimized geometry; values from VASP
! Volume: 16.109 Å³/atom
! Space-group type: P4/mmm (123)
! Magnetic moment: 0.00 μB/f.u.
! Distance to the lowest polymorph of the same formula: 552.2 meV/atom
! Formation energy (no corrections): 507 meV per atom
! DOS(E_F): 1.8 states/eV/f.u.
&SYSTEM
  ibrav = 0, nat = 4, ntyp = 3
/
ATOMIC_SPECIES
P 30.97 P.upf
Se 78.96 Se.upf
Si 28.09 Si.upf
ATOMIC_POSITIONS crystal
P 0.500 0.500 0.250
Se 0.500 0.500 0.750
Si 0.000 0.000 0.467
Si 0.000 0.000 0.033
CELL_PARAMETERS angstrom
-0.648 -0.841 2.979
2.398 -2.061 -0.061
3.986 4.577 2.159

***

! Si2PSe GGA-PBE optimized geometry; values from VASP
! Volume: 17.145 Å³/atom
! Space-group type: I4/mmm (139)
! Magnetic moment: 0.00 μB/f.u.
! Distance to the lowest polymorph of the same formula: 199.6 meV/atom
! Formation energy (no corrections): 155 meV per atom
! DOS(E_F): 1.5 states/eV/f.u.
&SYSTEM
  ibrav = 0, nat = 4, ntyp = 3
/
ATOMIC_SPECIES
P 30.97 P.upf
Si 28.09 Si.upf
Se 78.96 Se.upf
ATOMIC_POSITIONS crystal
P 0.000 0.500 0.500
Si 0.000 0.000 0.000
Si 0.500 0.000 0.500
Se 0.500 0.500 0.000
CELL_PARAMETERS angstrom
-2.411 -3.701 0.666
1.633 -0.050 -4.158
2.554 -3.626 -0.519